Entry from the Alexandria database: a relaxed SrMn2Bi2 crystal (GGA-PBE).

Properties
As for the density: 7.35 Mg/m³. As for the symmetry: I4/mmm, No. 139. Its total moment is 8.05 μB per formula unit. As for the formation energy from the elements: -0.05 eV/atom. Its density of states at the Fermi level is 4.92 states/eV/f.u.

a = 7.6053 Å, b = 7.6053 Å, c = 7.6053 Å
α = 145.71°, β = 145.71°, γ = 49.28°
With the nearest neighbours (Å) after each atom.
Fractional positions:
Sr  0.0000  0.0000  0.0000  8 Bi 3.62
Mn  0.2500  0.7500  0.5000  4 Bi 2.82
Mn  0.7500  0.2500  0.5000  4 Bi 2.82
Bi  0.3742  0.3742  0.0000  4 Mn 2.82
Bi  0.6258  0.6258  0.0000  4 Mn 2.82